1.
Below is Zr3NbPb after structural relaxation, with properties calculated at the PBE-GGA level.

Computed properties:
Space-group type = Pm-3m (221)
Energy above the most stable polymorph in this dataset = 0.00 eV/f.u.
Energy of formation from the pure elements = 0.730 eV per atom

Cell lengths 5.1207, 5.1207, 5.1207 Å; angles 90.00, 90.00, 90.00 degrees
Last column: nearest neighbours and their distance in Å.
Positions (direct):
Zr  0.0000  0.0000  0.5000  2 Nb 2.56
Zr  0.0000  0.5000  0.0000  2 Nb 2.56
Zr  0.5000  0.0000  0.0000  2 Nb 2.56
Nb  0.0000  0.0000  0.0000  6 Zr 2.56
Pb  0.5000  0.5000  0.5000  12 Zr 3.62

2.
Below is SmHoThSc after structural relaxation, with properties calculated at the PBE-GGA level.

Computed properties:
Space-group type = F-43m (216)
Energy above the most stable polymorph in this dataset = 0.31 eV/f.u.
Energy of formation from the pure elements = 0.111 eV per atom

Cell lengths 5.5640, 5.5640, 5.5640 Å; angles 60.00, 60.00, 60.00 degrees
Last column: nearest neighbours and their distance in Å.
Positions (direct):
Sm  0.0000  0.0000  0.0000  4 Ho 3.41, 4 Sc 3.41
Ho  0.7500  0.7500  0.7500  4 Th 3.41, 4 Sm 3.41
Th  0.5000  0.5000  0.5000  4 Ho 3.41, 4 Sc 3.41
Sc  0.2500  0.2500  0.2500  4 Th 3.41, 4 Sm 3.41

3.
Below is NaLiHg3 after structural relaxation, with properties calculated at the PBE-GGA level.

Computed properties:
Space-group type = Pm-3m (221)
Energy above the most stable polymorph in this dataset = 1.97 eV/f.u.
Energy of formation from the pure elements = 0.155 eV per atom

Cell lengths 5.5979, 5.5979, 5.5979 Å; angles 90.00, 90.00, 90.00 degrees
Last column: nearest neighbours and their distance in Å.
Positions (direct):
Na  0.0000  0.0000  0.0000  6 Hg 2.80
Li  0.5000  0.5000  0.5000  12 Hg 3.96
Hg  0.0000  0.0000  0.5000  2 Na 2.80
Hg  0.0000  0.5000  0.0000  2 Na 2.80
Hg  0.5000  0.0000  0.0000  2 Na 2.80

Question: Which of these has the lowest energy of formation from the pure elements?
Answer: SmHoThSc

Question: Which formula does entry 3 have?
Answer: NaLiHg3

Question: The lowest energy above the most stable polymorph in this dataset belongs to which entry?
Answer: Zr3NbPb